[1]
First-principles (PBE) data for In2TcMo after structural relaxation, as listed in Alexandria via LeMat-Bulk.

```
4
Lattice="2.909 0.000 0.000 0.000 4.561 0.000 -1.040 0.000 5.457" Properties=species:S:1:pos:R:3 pbc="T T T"
In 0.399 0.000 1.376
In 1.471 0.000 4.081
Tc -0.520 2.281 2.729
Mo 1.455 2.281 0.000
```

Computed properties:
The calculated total energy comes out at -6.182 eV per atom. The density comes out at 9.71 g/cm³. The value obtained for the energy of formation is 0.486 eV/atom.

=====

[2]
First-principles (PBE) data for Tc3RuW after structural relaxation, as listed in Alexandria via LeMat-Bulk.

```
5
Lattice="4.553 0.000 0.000 0.000 4.553 0.000 0.000 0.000 4.553" Properties=species:S:1:pos:R:3 pbc="T T T"
Tc 0.000 0.000 2.277
Tc 0.000 2.277 0.000
Tc 2.277 0.000 0.000
Ru 0.000 0.000 0.000
W 2.277 2.277 2.277
```

Computed properties:
The calculated total energy comes out at -8.649 eV per atom. The density comes out at 10.18 g/cm³. The value obtained for the energy of formation is 2.016 eV/atom.

=====

[3]
First-principles (PBE) data for Na2NiMoH after structural relaxation, as listed in Alexandria via LeMat-Bulk.

```
5
Lattice="6.008 0.000 0.000 0.000 6.008 0.000 0.000 0.000 4.436" Properties=species:S:1:pos:R:3 pbc="T T T"
Na 0.000 3.004 0.000
Na 3.004 0.000 0.000
Ni 0.000 0.000 2.218
Mo 0.000 0.000 0.000
H 3.004 3.004 2.218
```

Computed properties:
The calculated total energy comes out at -2.989 eV per atom. The density comes out at 2.09 g/cm³.